TlSi: PBEsol geometry, meta-GGA SCAN.

Geometry as CIF:
```
data_TlSi
_chemical_formula_sum 'Tl2 Si2'
_symmetry_space_group_name_H-M 'P -3 m 1'
_symmetry_Int_Tables_number 164
_symmetry_space_group_name_Hall '-P 3 2"'
_cell_length_a 3.7158
_cell_length_b 3.7158
_cell_length_c 8.2281
_cell_angle_alpha 90.00
_cell_angle_beta 90.00
_cell_angle_gamma 120.00
loop_
_atom_site_label
_atom_site_fract_x
_atom_site_fract_y
_atom_site_fract_z
Tl1 0.3333 0.6667 0.1694
Si1 0.3333 0.6667 0.5574
```

Computed properties:
* ΔE_f (raw): 0.207 eV per atom
* final energy: -163.9 eV/cell